[1]
MgCu2Pd3 (PBE, optimized geometry); total DFT energy (no corrections) = -4.48 eV per atom
1.0
-2.3907 -1.8331 -3.0993
1.6921 -2.4320 3.1471
-4.3531 0.7456 2.9168
Cu Mg Pd
2 1 3
Direct
0.6667 0.3333 0.3352
0.3333 0.6667 0.6648
0.0000 0.0000 0.0000
0.3333 0.6667 0.1730
0.0000 0.0000 0.5000
0.6667 0.3333 0.8270


[2]
Er3Hf3FeTe2 (PBE, optimized geometry); energy above the lowest structure with this stoichiometry = 0.2739 eV/atom
1.0
8.0361 0.0000 0.0000
-4.0180 6.9594 0.0000
0.0000 0.0000 3.6393
Er Fe Hf Te
3 1 3 2
Direct
0.7573 0.0000 0.5000
0.2427 0.2427 0.5000
0.0000 0.7573 0.5000
0.0000 0.0000 0.0000
0.3992 0.0000 0.0000
0.0000 0.3992 0.0000
0.6008 0.6008 0.0000
0.6667 0.3333 0.5000
0.3333 0.6667 0.5000


Question: Number 1 is which compound?
Answer: MgCu2Pd3


Copy entry 2 word for word.
Er3Hf3FeTe2 (PBE, optimized geometry); energy above the lowest structure with this stoichiometry = 0.2739 eV/atom
1.0
8.0361 0.0000 0.0000
-4.0180 6.9594 0.0000
0.0000 0.0000 3.6393
Er Fe Hf Te
3 1 3 2
Direct
0.7573 0.0000 0.5000
0.2427 0.2427 0.5000
0.0000 0.7573 0.5000
0.0000 0.0000 0.0000
0.3992 0.0000 0.0000
0.0000 0.3992 0.0000
0.6008 0.6008 0.0000
0.6667 0.3333 0.5000
0.3333 0.6667 0.5000